# Ba2SmW3O12, optimized geometry, DFT PBE+U
data_Ba2SmW3O12
_cell_length_a 7.5467
_cell_length_b 7.5467
_cell_length_c 17.1110
_cell_angle_alpha 90.00
_cell_angle_beta 90.00
_cell_angle_gamma 120.00
_symmetry_space_group_name_H-M 'R -3 m'
_symmetry_Int_Tables_number 166
_symmetry_space_group_name_Hall '-R 3 2"'
loop_
_atom_site_label
_atom_site_type_symbol
_atom_site_fract_x
_atom_site_fract_y
_atom_site_fract_z
Ba1 Ba 0.0000 0.0000 0.1271
Sm1 Sm 0.0000 0.0000 0.5000
W1 W 0.0000 0.5000 0.0000
O1 O 0.0130 0.5065 0.8876
O2 O 0.0838 0.5419 0.3262
# volume	844.0	Å³/cell
# theoretical density	6.897	g/cm³
# D(E_F)	3.28	states/eV/f.u.
# uncorrected energy	-400.49	eV for the cell shown